1.
Crystalline Sm2Ga4Pt3Rh at its relaxed geometry, computed with PBE-GGA.

POSCAR file:
```
Sm2Ga4Pt3Rh
1.0
-0.643 3.880 1.611
-3.502 0.405 -2.373
-5.730 -4.166 7.746
Pt Ga Rh Sm
3 4 1 2
Cartesian
-2.865 -2.083 3.873
-2.526 -0.361 -0.139
-5.277 -1.663 7.505
-3.882 -1.347 1.694
0.000 0.000 0.000
-2.073 2.142 -0.381
-3.921 -0.677 5.672
-4.938 0.059 3.492
-1.767 0.889 2.760
-6.036 -2.913 4.606
```

Calculated values
DFT formation energy, eV/atom: -0.9491
Symmetry: No. 115
Crystal system: tetragonal
Calculated density, Mg/m³: 11.1

=====

2.
Crystalline Ba2IrCl at its relaxed geometry, computed with PBE-GGA.

POSCAR file:
```
Ba2IrCl
1.0
8.581 0.023 -0.012
6.617 5.463 0.012
-7.580 -2.797 2.892
Ba Ir Cl
2 1 1
Cartesian
0.935 0.338 0.000
4.800 0.165 1.440
2.538 2.423 1.452
6.944 2.507 0.000
```

Calculated values
ΔE_f (raw), eV/atom: -0.86
Symmetry: No. 44
Crystal system: orthorhombic
Calculated density, Mg/m³: 6.2

=====

3.
Crystalline BaCuN2O at its relaxed geometry, computed with PBE-GGA.

POSCAR file:
```
BaCuN2O
1.0
5.321 0.000 0.000
0.000 5.321 0.000
0.000 0.000 4.630
Ba O N Cu
1 1 2 1
Cartesian
0.000 0.000 0.000
0.000 0.000 2.315
0.000 2.660 0.000
2.660 0.000 0.000
2.660 2.660 2.315
```

Calculated values
ΔE_f (raw), eV/atom: 1.73
Symmetry: No. 123
Crystal system: tetragonal
Calculated density, Mg/m³: 3.1

=====

4.
Crystalline Cs2CdAgI at its relaxed geometry, computed with PBE-GGA.

POSCAR file:
```
Cs2CdAgI
1.0
6.909 0.000 0.000
0.000 6.909 0.000
0.000 0.000 5.447
Cd Cs Ag I
1 2 1 1
Cartesian
0.000 0.000 2.723
0.000 3.454 0.000
3.454 0.000 0.000
0.000 0.000 0.000
3.454 3.454 2.723
```

Calculated values
ΔE_f (raw), eV/atom: -0.48
Symmetry: No. 123
Crystal system: tetragonal
Calculated density, Mg/m³: 3.9

=====

5.
Crystalline GaSn2AsBr at its relaxed geometry, computed with PBE-GGA.

POSCAR file:
```
GaSn2AsBr
1.0
5.397 0.000 0.000
0.000 4.931 0.000
0.000 0.000 5.397
Br Sn As Ga
1 2 1 1
Cartesian
0.000 2.465 0.000
2.699 0.000 0.000
0.000 0.000 2.699
2.699 2.465 2.699
0.000 0.000 0.000
```

Calculated values
ΔE_f (raw), eV/atom: 0.40
Symmetry: No. 123
Crystal system: tetragonal
Calculated density, Mg/m³: 5.3

=====

6.
Crystalline ReHg2Mo at its relaxed geometry, computed with PBE-GGA.

POSCAR file:
```
ReHg2Mo
1.0
4.673 0.000 0.000
2.337 4.047 0.000
2.337 1.349 3.816
Hg Re Mo
2 1 1
Cartesian
7.010 4.047 2.862
0.000 0.000 0.000
2.337 1.349 0.954
4.673 2.698 1.908
```

Calculated values
DFT formation energy, eV/atom: 0.9409
Symmetry: No. 216
Crystal system: cubic
Calculated density, Mg/m³: 15.7

=====

7.
Crystalline ErUTe2C at its relaxed geometry, computed with PBE-GGA.

POSCAR file:
```
ErUTe2C
1.0
-2.742 2.100 -2.124
-1.876 -3.454 -0.993
-9.017 1.207 12.833
U C Te Er
2 2 4 2
Cartesian
-6.511 1.738 6.253
-4.815 -1.208 5.021
-4.508 0.603 6.417
-6.817 -0.074 4.858
-7.067 -0.907 8.228
-1.687 -1.627 0.570
-9.638 2.156 10.704
-4.258 1.436 3.047
-8.748 -0.682 10.619
-2.577 1.211 0.655
```

Calculated values
ΔE_f (raw), eV/atom: -0.75
Symmetry: No. 129
Crystal system: tetragonal
Calculated density, Mg/m³: 8.6

=====

8.
Crystalline ZrTeIrN2 at its relaxed geometry, computed with PBE-GGA.

POSCAR file:
```
ZrTeIrN2
1.0
4.053 0.000 0.000
0.000 4.053 0.000
0.000 0.000 6.293
Zr N Ir Te
1 2 1 1
Cartesian
0.000 0.000 0.000
2.026 0.000 0.000
0.000 2.026 0.000
2.026 2.026 3.146
0.000 0.000 3.146
```

Calculated values
ΔE_f (raw), eV/atom: 0.98
Symmetry: No. 123
Crystal system: tetragonal
Calculated density, Mg/m³: 7.1

=====

9.
Crystalline K2ZrCdH16C8O24 at its relaxed geometry, computed with PBE-GGA.

POSCAR file:
```
K2ZrCdH16C8O24
1.0
8.972 0.000 0.000
4.486 8.079 0.000
4.486 0.000 8.079
H O K Zr C Cd
16 24 2 1 8 1
Cartesian
5.673 0.661 3.464
14.523 4.669 7.506
7.906 0.573 4.669
4.250 2.852 1.265
6.471 5.288 1.239
9.207 1.265 5.227
6.987 1.239 2.790
5.551 3.409 0.573
6.987 6.840 5.288
7.784 4.614 0.661
14.645 7.417 4.614
7.906 7.506 3.409
7.784 3.464 7.417
13.222 5.227 6.814
6.471 2.790 6.840
9.207 6.814 2.852
8.758 7.685 2.930
9.335 4.973 4.902
11.364 7.173 1.090
13.094 3.176 4.973
10.666 2.453 5.487
6.515 6.925 4.428
4.699 2.930 0.394
11.364 0.905 6.988
8.470 6.469 6.359
11.763 2.591 2.453
4.988 6.359 1.609
13.671 5.149 7.685
6.515 1.154 3.650
2.094 1.090 0.905
8.470 1.609 1.719
11.065 6.988 7.173
8.758 0.394 5.149
4.988 1.719 6.469
6.942 3.650 6.925
9.335 3.105 3.176
11.763 5.487 5.626
10.666 5.626 2.591
6.942 4.428 1.154
13.094 4.902 3.105
4.486 0.000 0.000
6.729 4.039 4.039
11.215 4.039 4.039
9.425 5.858 5.823
10.861 6.165 6.269
9.425 2.221 2.256
10.861 1.913 1.809
11.568 6.269 1.913
11.568 1.809 6.165
13.004 2.256 5.858
13.004 5.823 2.221
0.000 0.000 0.000
```

Calculated values
Symmetry: No. 82
Crystal system: tetragonal
Calculated density, Mg/m³: 2.2

=====

10.
Crystalline DyMgTlSn at its relaxed geometry, computed with PBE-GGA.

POSCAR file:
```
DyMgTlSn
1.0
-1.410 4.241 -2.798
-4.039 -0.292 -3.377
-4.523 2.485 1.079
Sn Tl Dy Mg
1 1 1 1
Cartesian
-4.986 3.217 -2.548
0.000 0.000 0.000
-2.493 1.609 -1.274
-7.479 4.826 -3.822
```

Calculated values
DFT formation energy, eV/atom: -0.2428
Symmetry: No. 216
Crystal system: cubic
Calculated density, Mg/m³: 8.2

=====

11.
Crystalline BaScCu at its relaxed geometry, computed with PBE-GGA.

POSCAR file:
```
BaScCu
1.0
-3.266 1.240 -3.723
-5.025 -0.523 0.734
-2.955 4.136 0.470
Ba Cu Sc
1 1 1
Cartesian
-5.623 2.427 -1.260
-8.435 3.640 -1.889
0.000 0.000 0.000
```

Calculated values
DFT formation energy, eV/atom: 0.4130
Symmetry: No. 216
Crystal system: cubic
Calculated density, Mg/m³: 4.3

=====

12.
Crystalline CaZrSn2H at its relaxed geometry, computed with PBE-GGA.

POSCAR file:
```
CaZrSn2H
1.0
5.541 0.000 0.000
0.000 6.067 0.000
0.000 0.000 5.541
Sn Zr Ca H
2 1 1 1
Cartesian
2.770 0.000 0.000
0.000 0.000 2.770
0.000 0.000 0.000
0.000 3.033 0.000
2.770 3.033 2.770
```

Calculated values
Symmetry: No. 123
Crystal system: tetragonal
Calculated density, Mg/m³: 3.3

=====

13.
Crystalline AcBe13 at its relaxed geometry, computed with PBE-GGA.

POSCAR file:
```
AcBe13
1.0
6.451 0.000 3.724
2.150 6.082 3.724
0.000 0.000 7.448
Be Ac
26 2
Cartesian
6.629 5.689 8.266
4.300 3.041 7.448
6.645 1.728 9.874
5.229 1.728 4.205
1.971 0.393 6.631
2.428 5.689 9.057
2.329 2.648 6.631
3.079 4.769 6.967
4.023 3.434 5.332
4.757 0.393 9.874
5.522 1.313 7.930
0.000 0.000 0.000
1.028 1.728 8.266
3.273 1.313 8.266
5.328 4.769 6.631
1.956 4.354 5.023
6.173 0.393 5.840
4.106 1.313 6.150
4.495 4.769 8.747
4.578 2.648 9.564
3.372 4.354 10.692
3.844 5.689 5.023
5.994 2.648 6.150
2.607 3.434 8.747
7.573 4.354 6.631
6.272 3.434 8.266
2.150 1.520 3.724
6.451 4.561 11.173
```

Calculated values
DFT formation energy, eV/atom: -0.0837
Symmetry: No. 226
Crystal system: cubic
Calculated density, Mg/m³: 3.9

=====

14.
Crystalline ZrSn2Br8 at its relaxed geometry, computed with PBE-GGA.

POSCAR file:
```
ZrSn2Br8
1.0
0.219 -6.127 3.645
3.417 -5.208 -4.821
7.243 -0.376 3.072
Br Zr Sn
8 1 2
Cartesian
1.350 -2.099 0.631
5.029 -1.889 2.682
2.643 -4.903 -2.242
9.529 -9.612 1.266
4.750 -7.188 2.098
6.129 -4.523 -0.202
8.236 -6.808 4.138
5.850 -9.822 -0.785
0.000 0.000 0.000
3.498 -4.948 1.334
7.381 -6.763 0.563
```

Calculated values
ΔE_f (raw), eV/atom: -1.00
Symmetry: No. 12
Crystal system: monoclinic
Calculated density, Mg/m³: 3.9

=====

15.
Crystalline CsHgSbTe at its relaxed geometry, computed with PBE-GGA.

POSCAR file:
```
CsHgSbTe
1.0
-2.242 -3.735 -1.839
-0.032 -2.073 4.250
-12.880 6.272 2.961
Cs Te Sb Hg
2 2 2 2
Cartesian
-9.866 3.075 2.740
-5.288 -2.612 2.632
-2.160 -0.677 0.969
-12.994 1.141 4.403
-8.129 -0.184 1.164
-7.025 0.648 4.208
-0.585 -2.488 2.728
-1.689 -3.320 -0.317
```

Calculated values
ΔE_f (raw), eV/atom: -0.24
Symmetry: No. 129
Crystal system: tetragonal
Calculated density, Mg/m³: 5.9

=====

16.
Crystalline LiTa3Pb at its relaxed geometry, computed with PBE-GGA.

POSCAR file:
```
LiTa3Pb
1.0
-2.896 -3.355 0.823
1.102 -1.915 -3.929
3.274 -2.323 2.050
Pb Li Ta
1 1 3
Cartesian
0.740 -3.797 -0.528
0.000 0.000 0.000
-1.448 -1.678 0.412
1.637 -1.162 1.025
0.551 -0.958 -1.965
```

Calculated values
DFT formation energy, eV/atom: 1.0402
Symmetry: No. 221
Crystal system: cubic
Calculated density, Mg/m³: 13.7

=====

17.
Crystalline Hf2Zr3ScN6 at its relaxed geometry, computed with PBE-GGA.

POSCAR file:
```
Hf2Zr3ScN6
1.0
-0.129 -3.378 -4.443
4.895 1.715 2.066
-1.449 -3.681 3.998
N Zr Sc Hf
6 3 1 2
Cartesian
1.643 -4.906 0.156
3.204 -2.108 -0.824
1.674 -0.438 1.465
-0.014 -2.149 -0.722
0.113 -3.236 2.445
3.331 -3.195 2.343
1.659 -2.672 0.810
-0.030 -4.384 -1.377
3.347 -0.960 2.998
0.000 0.000 0.000
1.546 -1.680 -2.273
3.220 0.017 -0.104
```

Calculated values
ΔE_f (raw), eV/atom: -1.78
Symmetry: No. 12
Crystal system: monoclinic
Calculated density, Mg/m³: 8.8

=====

18.
Crystalline PrNd2Al3 at its relaxed geometry, computed with PBE-GGA.

POSCAR file:
```
PrNd2Al3
1.0
5.277 0.000 0.021
2.639 7.920 0.010
-0.030 0.000 7.503
Nd Al Pr
4 6 2
Cartesian
5.263 5.270 3.772
2.624 2.649 3.762
-0.015 0.000 3.751
0.000 0.000 0.000
5.255 2.629 5.633
2.617 0.000 5.620
5.270 2.629 1.911
2.631 5.291 1.901
2.631 0.000 1.903
2.617 5.291 5.623
5.277 5.281 0.021
2.639 2.638 0.010
```

Calculated values
DFT formation energy, eV/atom: -0.3473
Symmetry: No. 65
Crystal system: orthorhombic
Calculated density, Mg/m³: 5.4

=====

19.
Crystalline Ca2MgRhN at its relaxed geometry, computed with PBE-GGA.

POSCAR file:
```
Ca2MgRhN
1.0
-1.928 -2.586 3.941
4.538 0.133 2.308
-0.975 3.353 1.724
Ca N Rh Mg
2 1 1 1
Cartesian
-0.964 -1.293 1.971
2.269 0.067 1.154
0.000 0.000 0.000
-0.488 1.677 0.862
0.818 0.450 3.986
```

Calculated values
ΔE_f (raw), eV/atom: -0.43
Symmetry: No. 123
Crystal system: tetragonal
Calculated density, Mg/m³: 3.6

=====

20.
Crystalline Na3Pu3PaSe8 at its relaxed geometry, computed with PBE-GGA.

POSCAR file:
```
Na3Pu3PaSe8
1.0
8.428 0.000 0.000
-4.214 7.303 -0.027
0.000 -4.845 6.984
Se Pu Na Pa
8 3 3 1
Cartesian
4.214 0.018 5.076
0.000 -0.061 5.052
2.038 -1.251 1.919
-2.176 3.709 5.038
0.000 2.441 1.880
6.390 -1.251 1.919
2.176 3.709 5.038
4.214 2.519 1.904
4.214 -2.422 3.492
2.107 1.229 3.478
-2.107 1.229 3.478
2.107 3.651 -0.014
-2.107 3.651 -0.014
0.000 0.000 0.000
0.000 -2.422 3.492
```

Calculated values
ΔE_f (raw), eV/atom: -1.42
Symmetry: No. 166
Crystal system: trigonal
Calculated density, Mg/m³: 6.4

=====

21.
Crystalline CaTe2As at its relaxed geometry, computed with PBE-GGA.

POSCAR file:
```
CaTe2As
1.0
-1.539 -5.118 0.569
3.207 -3.973 -1.679
2.460 -3.163 3.582
As Te Ca
1 2 1
Cartesian
2.064 -6.127 1.236
1.032 -3.063 0.618
0.000 0.000 0.000
3.096 -9.190 1.854
```

Calculated values
ΔE_f (raw), eV/atom: -0.16
Symmetry: No. 216
Crystal system: cubic
Calculated density, Mg/m³: 5.6

=====

22.
Crystalline Ta3TiRe3 at its relaxed geometry, computed with PBE-GGA.

POSCAR file:
```
Ta3TiRe3
1.0
-4.739 3.304 -2.534
-2.008 -5.147 -3.046
-3.608 -1.459 4.845
Re Ti Ta
6 2 6
Cartesian
-5.084 0.554 2.378
-6.637 0.369 -2.857
-7.651 -2.208 -4.366
-2.704 -1.094 3.631
-5.272 -3.856 -3.113
-3.718 -3.671 2.122
-8.673 -2.842 0.656
-1.682 -0.459 -1.391
-3.515 -1.197 1.007
-2.693 -3.027 -2.917
-4.535 -3.640 -0.488
-6.840 -2.105 -1.742
-5.820 0.338 -0.247
-4.054 1.185 -2.662
```

Calculated values
DFT formation energy, eV/atom: -0.0782
Symmetry: No. 65
Crystal system: orthorhombic
Calculated density, Mg/m³: 15.4

=====

| no. | DFT total energy (eV for the cell shown) |
| --- | --- |
| 1 | -56.51 |
| 2 | -17.98 |
| 3 | -18.96 |
| 4 | -9.45 |
| 5 | -15.37 |
| 6 | -20.12 |
| 7 | -70.18 |
| 8 | -32.30 |
| 9 | -325.56 |
| 10 | -13.54 |
| 11 | -11.11 |
| 12 | -17.97 |
| 13 | -107.44 |
| 14 | -40.94 |
| 15 | -18.75 |
| 16 | -35.98 |
| 17 | -123.20 |
| 18 | -55.25 |
| 19 | -23.40 |
| 20 | -105.57 |
| 21 | -13.58 |
| 22 | -162.69 |